1.
# YP, optimized geometry, DFT PBE-GGA
data_YP
_chemical_formula_sum 'Y1 P1'
_cell_length_a 3.9137
_cell_length_b 3.9137
_cell_length_c 3.5650
_cell_angle_alpha 90.00
_cell_angle_beta 90.00
_cell_angle_gamma 120.00
_symmetry_space_group_name_H-M 'P -6 m 2'
_symmetry_Int_Tables_number 187
_symmetry_space_group_name_Hall 'P -6 2'
loop_
_atom_site_label
_atom_site_type_symbol
_atom_site_fract_x
_atom_site_fract_y
_atom_site_fract_z
_atom_site_occupancy
Y1 Y 0.0000 0.0000 0.0000 1
P1 P 0.6667 0.3333 0.5000 1
# M_tot: 0.00 Bohr magnetons per cell
# energy of formation: -1293 meV per atom
# calculated density: 4.21 g/cm³
# DOS(E_F): 0.152 states/eV/atom
# raw total energy: -7.2302 eV/atom
# volume: 23.6 Å³ per atom



2.
# NpSc2Ag2Se6, optimized geometry, DFT PBE-GGA
data_NpSc2Ag2Se6
_chemical_formula_sum 'Np2 Sc4 Ag4 Se12'
_cell_length_a 6.897
_cell_length_b 12.095
_cell_length_c 6.801
_cell_angle_alpha 90.00
_cell_angle_beta 100.26
_cell_angle_gamma 90.00
_symmetry_space_group_name_H-M 'C 1 2/m 1'
_symmetry_Int_Tables_number 12
_symmetry_space_group_name_Hall '-C 2y'
loop_
_atom_site_label
_atom_site_type_symbol
_atom_site_fract_x
_atom_site_fract_y
_atom_site_fract_z
_atom_site_occupancy
Np1 Np 0.000 0.000 0.000 1
Sc1 Sc 0.000 0.334 0.000 1
Ag1 Ag 0.000 0.120 0.500 1
Se1 Se 0.196 0.500 0.229 1
Se2 Se 0.211 0.174 0.226 1
# E_form (uncorrected): -1062 meV/atom
# M_tot: 6.00 Bohr magnetons per cell
# calculated density: 6.05 g/cm³
# DOS(E_F): 0.656 states/eV/atom
# raw total energy: -5.8089 eV/atom
# volume: 25.4 Å³ per atom



3.
# LiTiAsPt, optimized geometry, DFT PBE-GGA
data_LiTiAsPt
_chemical_formula_sum 'Li4 Ti4 As4 Pt4'
_cell_length_a 6.245
_cell_length_b 6.245
_cell_length_c 6.245
_cell_angle_alpha 90.00
_cell_angle_beta 90.00
_cell_angle_gamma 90.00
_symmetry_space_group_name_H-M 'F -4 3 m'
_symmetry_Int_Tables_number 216
_symmetry_space_group_name_Hall 'F -4 2 3'
loop_
_atom_site_label
_atom_site_type_symbol
_atom_site_fract_x
_atom_site_fract_y
_atom_site_fract_z
_atom_site_occupancy
Li1 Li 0.000 0.000 0.000 1
Ti1 Ti 0.000 0.000 0.500 1
As1 As 0.250 0.250 0.750 1
Pt1 Pt 0.250 0.250 0.250 1
# M_tot: 0.00 Bohr magnetons per cell
# energy of formation: -671 meV per atom
# calculated density: 8.86 g/cm³
# DOS(E_F): 0.621 states/eV/atom
# raw total energy: -5.7957 eV/atom
# volume: 15.2 Å³ per atom



4.
# EuMgHg, optimized geometry, DFT PBE-GGA
data_EuMgHg
_chemical_formula_sum 'Eu2 Mg2 Hg2'
_cell_length_a 3.739
_cell_length_b 3.739
_cell_length_c 11.877
_cell_angle_alpha 90.00
_cell_angle_beta 90.00
_cell_angle_gamma 90.00
_symmetry_space_group_name_H-M 'I 4 m m'
_symmetry_Int_Tables_number 107
_symmetry_space_group_name_Hall 'I 4 -2'
loop_
_atom_site_label
_atom_site_type_symbol
_atom_site_fract_x
_atom_site_fract_y
_atom_site_fract_z
_atom_site_occupancy
Eu1 Eu 0.000 0.000 0.000 1
Mg1 Mg 0.000 0.000 0.701 1
Hg1 Hg 0.000 0.000 0.325 1
# M_tot: 14.67 Bohr magnetons per cell
# energy of formation: -301 meV per atom
# calculated density: 7.54 g/cm³
# DOS(E_F): 2.029 states/eV/atom
# raw total energy: -4.3578 eV/atom
# volume: 27.7 Å³ per atom



5.
# Y2GeI, optimized geometry, DFT PBE-GGA
data_Y2GeI
_chemical_formula_sum 'Y6 Ge3 I3'
_cell_length_a 4.2563
_cell_length_b 4.2563
_cell_length_c 22.2680
_cell_angle_alpha 90.00
_cell_angle_beta 90.00
_cell_angle_gamma 120.00
_symmetry_space_group_name_H-M 'R -3 m'
_symmetry_Int_Tables_number 166
_symmetry_space_group_name_Hall '-R 3 2"'
loop_
_atom_site_label
_atom_site_type_symbol
_atom_site_fract_x
_atom_site_fract_y
_atom_site_fract_z
_atom_site_occupancy
Y1 Y 0.0000 0.0000 0.2309 1
Ge1 Ge 0.0000 0.0000 0.5000 1
I1 I 0.0000 0.0000 0.0000 1
# E_form (uncorrected): -973 meV/atom
# M_tot: 0.00 Bohr magnetons per cell
# calculated density: 5.38 g/cm³
# DOS(E_F): 0.453 states/eV/atom
# raw total energy: -5.7473 eV/atom
# volume: 29.1 Å³ per atom



6.
# Nd2Dy2In5, optimized geometry, DFT PBE-GGA
data_Nd2Dy2In5
_chemical_formula_sum 'Nd8 Dy8 In20'
_cell_length_a 14.312
_cell_length_b 7.249
_cell_length_c 10.114
_cell_angle_alpha 90.00
_cell_angle_beta 90.00
_cell_angle_gamma 90.00
_symmetry_space_group_name_H-M 'I m a 2'
_symmetry_Int_Tables_number 46
_symmetry_space_group_name_Hall 'I 2 -2a'
loop_
_atom_site_label
_atom_site_type_symbol
_atom_site_fract_x
_atom_site_fract_y
_atom_site_fract_z
_atom_site_occupancy
Nd1 Nd 0.127 0.027 0.000 1
Dy1 Dy 0.000 0.000 0.565 1
Dy2 Dy 0.250 0.504 0.933 1
In1 In 0.044 0.188 0.288 1
In2 In 0.152 0.709 0.224 1
In3 In 0.250 0.187 0.715 1
# M_tot: 0.00 Bohr magnetons per cell
# energy of formation: -285 meV per atom
# calculated density: 7.52 g/cm³
# DOS(E_F): 0.759 states/eV/atom
# raw total energy: -3.8890 eV/atom
# volume: 29.1 Å³ per atom



What did the third record say?
# LiTiAsPt, optimized geometry, DFT PBE-GGA
data_LiTiAsPt
_chemical_formula_sum 'Li4 Ti4 As4 Pt4'
_cell_length_a 6.245
_cell_length_b 6.245
_cell_length_c 6.245
_cell_angle_alpha 90.00
_cell_angle_beta 90.00
_cell_angle_gamma 90.00
_symmetry_space_group_name_H-M 'F -4 3 m'
_symmetry_Int_Tables_number 216
_symmetry_space_group_name_Hall 'F -4 2 3'
loop_
_atom_site_label
_atom_site_type_symbol
_atom_site_fract_x
_atom_site_fract_y
_atom_site_fract_z
_atom_site_occupancy
Li1 Li 0.000 0.000 0.000 1
Ti1 Ti 0.000 0.000 0.500 1
As1 As 0.250 0.250 0.750 1
Pt1 Pt 0.250 0.250 0.250 1
# M_tot: 0.00 Bohr magnetons per cell
# energy of formation: -671 meV per atom
# calculated density: 8.86 g/cm³
# DOS(E_F): 0.621 states/eV/atom
# raw total energy: -5.7957 eV/atom
# volume: 15.2 Å³ per atom